No. 1
The following is a PBE calculation of Tl2Cd3Sn2 after structural relaxation, from Alexandria via LeMat-Bulk.

```
data_Tl2Cd3Sn2
_cell_length_a 6.7084
_cell_length_b 6.7084
_cell_length_c 5.9305
_cell_angle_alpha 101.70
_cell_angle_beta 101.70
_cell_angle_gamma 48.70
_space_group_name_H-M_alt 'P 1'
_space_group_IT_number 1
loop_
_space_group_symop_operation_xyz
'x,y,z'
loop_
_atom_site_label
_atom_site_type_symbol
_atom_site_fract_x
_atom_site_fract_y
_atom_site_fract_z
_atom_site_occupancy
Tl1 Tl 0.0806 0.0806 0.2857 1
Tl2 Tl 0.9194 0.9194 0.7143 1
Cd1 Cd 0.2403 0.2403 0.8242 1
Cd2 Cd 0.5000 0.5000 0.0000 1
Cd3 Cd 0.7597 0.7597 0.1758 1
Sn1 Sn 0.3693 0.3693 0.3671 1
Sn2 Sn 0.6307 0.6307 0.6329 1
```

Calculated values
volume	27.924	A^3/atom
spin magnetization	0.0	μB/f.u.
energy above the lowest structure with this stoichiometry	2	meV per atom

No. 2
The following is a PBE calculation of TlCd2Sn after structural relaxation, from Alexandria via LeMat-Bulk.

```
data_TlCd2Sn
_cell_length_a 11.6194
_cell_length_b 11.6194
_cell_length_c 11.6194
_cell_angle_alpha 157.96
_cell_angle_beta 157.96
_cell_angle_gamma 31.37
_space_group_name_H-M_alt 'P 1'
_space_group_IT_number 1
loop_
_space_group_symop_operation_xyz
'x,y,z'
loop_
_atom_site_label
_atom_site_type_symbol
_atom_site_fract_x
_atom_site_fract_y
_atom_site_fract_z
_atom_site_occupancy
Tl1 Tl 0.0000 0.0000 0.0000 1
Tl2 Tl 0.7500 0.2500 0.5000 1
Cd1 Cd 0.1297 0.6250 0.0047 1
Cd2 Cd 0.3750 0.3797 0.5047 1
Cd3 Cd 0.6203 0.1250 0.9953 1
Cd4 Cd 0.8750 0.8703 0.4953 1
Sn1 Sn 0.2500 0.7500 0.5000 1
Sn2 Sn 0.5000 0.5000 0.0000 1
```

Calculated values
volume	27.592	A^3/atom
spin magnetization	0.0	μB/f.u.
energy above the lowest structure with this stoichiometry	85	meV per atom

No. 3
The following is a PBE calculation of Tl4CdSn after structural relaxation, from Alexandria via LeMat-Bulk.

```
data_Tl4CdSn
_cell_length_a 5.9608
_cell_length_b 6.6086
_cell_length_c 9.4734
_cell_angle_alpha 90.00
_cell_angle_beta 105.23
_cell_angle_gamma 90.00
_space_group_name_H-M_alt 'P 1'
_space_group_IT_number 1
loop_
_space_group_symop_operation_xyz
'x,y,z'
loop_
_atom_site_label
_atom_site_type_symbol
_atom_site_fract_x
_atom_site_fract_y
_atom_site_fract_z
_atom_site_occupancy
Tl1 Tl 0.1401 0.2500 0.0537 1
Tl2 Tl 0.2292 0.5042 0.7086 1
Tl3 Tl 0.2292 0.9958 0.7086 1
Tl4 Tl 0.3346 0.2500 0.4111 1
Tl5 Tl 0.6654 0.7500 0.5889 1
Tl6 Tl 0.7708 0.0042 0.2914 1
Tl7 Tl 0.7708 0.4958 0.2914 1
Tl8 Tl 0.8599 0.7500 0.9463 1
Cd1 Cd 0.3955 0.7500 0.0247 1
Cd2 Cd 0.6045 0.2500 0.9753 1
Sn1 Sn 0.2447 0.7500 0.3043 1
Sn2 Sn 0.7553 0.2500 0.6957 1
```

Calculated values
volume	30.006	A^3/atom
spin magnetization	0.0	μB/f.u.
energy above the lowest structure with this stoichiometry	0	meV per atom

No. 4
The following is a PBE calculation of YTlCdSn after structural relaxation, from Alexandria via LeMat-Bulk.

```
data_YTlCdSn
_cell_length_a 4.4931
_cell_length_b 4.6409
_cell_length_c 4.9025
_cell_angle_alpha 90.00
_cell_angle_beta 90.00
_cell_angle_gamma 90.00
_space_group_name_H-M_alt 'P 1'
_space_group_IT_number 1
loop_
_space_group_symop_operation_xyz
'x,y,z'
loop_
_atom_site_label
_atom_site_type_symbol
_atom_site_fract_x
_atom_site_fract_y
_atom_site_fract_z
_atom_site_occupancy
Y1 Y 0.0000 0.0000 0.0000 1
Tl1 Tl 0.5000 0.0000 0.5000 1
Cd1 Cd 0.0000 0.5000 0.5000 1
Sn1 Sn 0.5000 0.5000 0.0000 1
```

Calculated values
volume	25.557	A^3/atom
spin magnetization	0.0	μB/f.u.

No. 5
The following is a PBE calculation of TlZnCdSn after structural relaxation, from Alexandria via LeMat-Bulk.

```
data_TlZnCdSn
_cell_length_a 5.2092
_cell_length_b 5.2092
_cell_length_c 5.2092
_cell_angle_alpha 60.00
_cell_angle_beta 60.00
_cell_angle_gamma 60.00
_space_group_name_H-M_alt 'P 1'
_space_group_IT_number 1
loop_
_space_group_symop_operation_xyz
'x,y,z'
loop_
_atom_site_label
_atom_site_type_symbol
_atom_site_fract_x
_atom_site_fract_y
_atom_site_fract_z
_atom_site_occupancy
Tl1 Tl 0.0000 0.0000 0.0000 1
Zn1 Zn 0.7500 0.7500 0.7500 1
Cd1 Cd 0.2500 0.2500 0.2500 1
Sn1 Sn 0.5000 0.5000 0.5000 1
```

Calculated values
volume	24.989	A^3/atom
spin magnetization	0.0	μB/f.u.

No. 6
The following is a PBE calculation of Tm5CdSn after structural relaxation, from Alexandria via LeMat-Bulk.

```
data_Tm5CdSn
_cell_length_a 8.7280
_cell_length_b 8.7280
_cell_length_c 5.7501
_cell_angle_alpha 90.04
_cell_angle_beta 90.04
_cell_angle_gamma 115.19
_space_group_name_H-M_alt 'P 1'
_space_group_IT_number 1
loop_
_space_group_symop_operation_xyz
'x,y,z'
loop_
_atom_site_label
_atom_site_type_symbol
_atom_site_fract_x
_atom_site_fract_y
_atom_site_fract_z
_atom_site_occupancy
Tm1 Tm 0.0122 0.3652 0.7506 1
Tm2 Tm 0.1989 0.8011 0.7500 1
Tm3 Tm 0.2332 0.3876 0.2512 1
Tm4 Tm 0.3652 0.0122 0.2506 1
Tm5 Tm 0.3876 0.2332 0.7512 1
Tm6 Tm 0.6124 0.7668 0.2488 1
Tm7 Tm 0.6348 0.9878 0.7494 1
Tm8 Tm 0.7668 0.6124 0.7488 1
Tm9 Tm 0.8011 0.1989 0.2500 1
Tm10 Tm 0.9878 0.6348 0.2494 1
Cd1 Cd 0.0000 0.0000 0.0000 1
Cd2 Cd 0.0000 0.0000 0.5000 1
Sn1 Sn 0.4055 0.5945 0.7500 1
Sn2 Sn 0.5945 0.4055 0.2500 1
```

Calculated values
volume	28.314	A^3/atom
spin magnetization	0.0	μB/f.u.

No. 7
The following is a PBE calculation of TmCd2Sn3 after structural relaxation, from Alexandria via LeMat-Bulk.

```
data_TmCd2Sn3
_cell_length_a 7.7035
_cell_length_b 7.7035
_cell_length_c 4.4171
_cell_angle_alpha 90.00
_cell_angle_beta 90.00
_cell_angle_gamma 145.07
_space_group_name_H-M_alt 'P 1'
_space_group_IT_number 1
loop_
_space_group_symop_operation_xyz
'x,y,z'
loop_
_atom_site_label
_atom_site_type_symbol
_atom_site_fract_x
_atom_site_fract_y
_atom_site_fract_z
_atom_site_occupancy
Tm1 Tm 0.0000 0.0000 0.0000 1
Cd1 Cd 0.3375 0.6625 0.0000 1
Cd2 Cd 0.6625 0.3375 0.0000 1
Sn1 Sn 0.1695 0.8305 0.5000 1
Sn2 Sn 0.5000 0.5000 0.5000 1
Sn3 Sn 0.8305 0.1695 0.5000 1
```

Calculated values
volume	25.012	A^3/atom
spin magnetization	0.0	μB/f.u.

No. 8
The following is a PBE calculation of TmCdSn3 after structural relaxation, from Alexandria via LeMat-Bulk.

```
data_TmCdSn3
_cell_length_a 13.0619
_cell_length_b 6.2407
_cell_length_c 6.2528
_cell_angle_alpha 90.00
_cell_angle_beta 90.00
_cell_angle_gamma 90.00
_space_group_name_H-M_alt 'P 1'
_space_group_IT_number 1
loop_
_space_group_symop_operation_xyz
'x,y,z'
loop_
_atom_site_label
_atom_site_type_symbol
_atom_site_fract_x
_atom_site_fract_y
_atom_site_fract_z
_atom_site_occupancy
Tm1 Tm 0.1876 0.0097 0.2500 1
Tm2 Tm 0.1876 0.4903 0.7500 1
Tm3 Tm 0.8124 0.5097 0.2500 1
Tm4 Tm 0.8124 0.9903 0.7500 1
Cd1 Cd 0.3818 0.2500 0.0000 1
Cd2 Cd 0.3818 0.2500 0.5000 1
Cd3 Cd 0.6182 0.7500 0.0000 1
Cd4 Cd 0.6182 0.7500 0.5000 1
Sn1 Sn 0.9997 0.2500 0.0000 1
Sn2 Sn 0.9997 0.2500 0.5000 1
Sn3 Sn 0.0003 0.7500 0.0000 1
Sn4 Sn 0.0003 0.7500 0.5000 1
Sn5 Sn 0.2220 0.5155 0.2500 1
Sn6 Sn 0.2220 0.9845 0.7500 1
Sn7 Sn 0.4165 0.6953 0.7500 1
Sn8 Sn 0.4165 0.8047 0.2500 1
Sn9 Sn 0.5835 0.1953 0.7500 1
Sn10 Sn 0.5835 0.3047 0.2500 1
Sn11 Sn 0.7780 0.0155 0.2500 1
Sn12 Sn 0.7780 0.4845 0.7500 1
```

Calculated values
volume	25.485	A^3/atom
spin magnetization	0.0	μB/f.u.

no.,mass density (Mg/m³),formation energy (eV/f.u.)
1,8.4,0.3
2,8.2,0.5
3,9.7,0.3
4,8.5,-1.5
5,8.3,0.6
6,9.0,-1.4
7,8.3,-1.3
8,8.3,-1.4